Below is crystalline Ca2Pb2Au at its relaxed geometry, with properties calculated at the PBE-GGA level.

E above lowest polymorph in meV/atom: 218.0
ΔE_f in eV/atom: -0.326
Space group: P4/mbm, No. 127

a = 7.8793 Å, b = 7.8793 Å, c = 4.9580 Å
α = 90.00°, β = 90.00°, γ = 90.00°
Fractional coordinates of all 10 atoms:
Ca 0.1639 0.3361 0.0000
Ca 0.3361 0.8361 0.0000
Ca 0.6639 0.1639 0.0000
Ca 0.8361 0.6639 0.0000
Pb 0.1424 0.6424 0.5000
Pb 0.3576 0.1424 0.5000
Pb 0.6424 0.8576 0.5000
Pb 0.8576 0.3576 0.5000
Au 0.0000 0.0000 0.0000
Au 0.5000 0.5000 0.0000